[1]
Density functional theory data (GGA-PBE) for crystalline AcPd2Pt4 at its relaxed geometry.

E_form: -0.47 eV/atom
N(E_F): 1.6581 states/eV per atom
M_tot: 0.0 μB per formula unit
ΔE to the lowest computed polymorph: 0.0 kJ per mole of atoms
space-group type: C2/m, No. 12

a b c (Å): 5.4138 5.5961 5.5961
angles (deg): 76.65 61.28 61.28
Sites, in units of the cell vectors:
Ac  0.0000  0.0000  0.0000
Pt  0.6932  0.6117  0.0000
Pt  0.6933  0.0000  0.6117
Pt  0.3068  0.0000  0.3883
Pt  0.3068  0.3883  0.0000
Pd  0.2492  0.5008  0.5008
Pd  0.7507  0.4992  0.4992

=====

[2]
Density functional theory data (GGA-PBE) for crystalline Y2ErTh3 at its relaxed geometry.

E_form: 0.18 eV/atom
N(E_F): 1.2639 states/eV per atom
M_tot: 0.0 μB per formula unit
space-group type: Cmcm, No. 63

a b c (Å): 6.7188 11.3211 7.6268
angles (deg): 137.92 90.00 90.00
Sites, in units of the cell vectors:
Th  0.5000  0.5000  0.0000
Th  0.0000  0.5000  0.0000
Th  0.0000  0.1658  0.3315
Th  0.5000  0.1658  0.3315
Th  0.5000  0.8342  0.6685
Th  0.0000  0.8342  0.6685
Y  0.2500  0.5633  0.6656
Y  0.7500  0.1023  0.6656
Y  0.7500  0.4367  0.3344
Y  0.2500  0.8977  0.3344
Er  0.7500  0.7714  0.0000
Er  0.2500  0.2286  0.0000

=====

[3]
Density functional theory data (GGA-PBE) for crystalline LaSeI at its relaxed geometry.

energy relative to the elements, uncorrected: -1.75 eV/atom
N(E_F): 0.0000 states/eV per atom
M_tot: 0.0 μB per formula unit
space-group type: P3m1, No. 156

a b c (Å): 7.0475 4.5611 4.5611
angles (deg): 120.00 90.00 90.00
Sites, in units of the cell vectors:
La  0.0383  0.0000  0.0000
Se  0.2155  0.3333  0.6667
I  0.7462  0.6667  0.3333

=====

[4]
Density functional theory data (GGA-PBE) for crystalline ScPaMn17 at its relaxed geometry.

E_form: -0.01 eV/atom
N(E_F): 1.1069 states/eV per atom
M_tot: 5.5 μB per formula unit
space-group type: R3m, No. 160

a b c (Å): 6.2559 6.2559 6.2559
angles (deg): 86.06 86.06 86.06
Sites, in units of the cell vectors:
Mn  0.6408  0.1303  0.6408
Mn  0.3614  0.8752  0.3614
Mn  0.7239  0.2743  0.9992
Mn  0.9956  0.5001  0.9956
Mn  0.8991  0.8991  0.8991
Mn  0.2743  0.7239  0.9992
Mn  0.8752  0.3614  0.3614
Mn  0.9956  0.9956  0.5001
Mn  0.9992  0.7239  0.2743
Mn  0.9992  0.2743  0.7239
Mn  0.2743  0.9992  0.7239
Mn  0.5001  0.9956  0.9956
Mn  0.3614  0.3614  0.8752
Mn  0.7239  0.9992  0.2743
Mn  0.1032  0.1032  0.1032
Mn  0.6408  0.6408  0.1303
Mn  0.1303  0.6408  0.6408
Pa  0.3541  0.3541  0.3541
Sc  0.6478  0.6478  0.6478